Material: Y3Tl2Au2
Method: DFT, PBE
State: relaxed

The structure belongs to space group Cmmm (No. 65); the cell edges are 4.4775, 22.3077 and 3.5389 Å and the angles 90.00°, 90.00° and 90.00°. The asymmetric unit holds Y at (0.0000, 0.0000, 0.0000), Y at (0.0000, 0.1668, 0.0000), Tl at (0.0000, 0.4213, 0.5000) and Au at (0.0000, 0.2874, 0.5000).

Its total energy is -69.48 eV/cell. As for the size of the total moment: 0.4 μB per formula unit.